The following is a PBE calculation of a relaxed SrZrSi2O7 crystal, from OQMD via LeMat-Bulk.

Cell lengths 7.765, 8.045, 10.087 Å; angles 90.00, 111.86, 90.00 degrees
Fractional coordinates of all 44 atoms:
O 0.131 0.846 0.060
O 0.371 0.592 0.092
O 0.825 0.867 0.117
O 0.193 0.266 0.127
O 0.985 0.577 0.127
O 0.695 0.209 0.128
O 0.473 0.910 0.149
O 0.527 0.410 0.351
O 0.305 0.709 0.372
O 0.015 0.077 0.373
O 0.807 0.766 0.373
O 0.175 0.367 0.383
O 0.629 0.092 0.408
O 0.869 0.346 0.440
O 0.131 0.654 0.560
O 0.371 0.908 0.592
O 0.825 0.633 0.617
O 0.193 0.234 0.627
O 0.985 0.923 0.627
O 0.695 0.291 0.628
O 0.473 0.590 0.649
O 0.527 0.090 0.851
O 0.305 0.791 0.872
O 0.015 0.423 0.873
O 0.807 0.734 0.873
O 0.175 0.133 0.883
O 0.629 0.408 0.908
O 0.869 0.154 0.940
Si 0.325 0.786 0.038
Si 0.933 0.753 0.041
Si 0.067 0.253 0.459
Si 0.675 0.286 0.462
Si 0.325 0.714 0.538
Si 0.933 0.747 0.541
Si 0.067 0.247 0.959
Si 0.675 0.214 0.962
Sr 0.716 0.518 0.204
Sr 0.284 0.018 0.296
Sr 0.716 0.982 0.704
Sr 0.284 0.482 0.796
Zr 0.257 0.491 0.244
Zr 0.743 0.991 0.256
Zr 0.257 0.009 0.744
Zr 0.743 0.509 0.756

## Properties
Total DFT energy (no corrections)   -8.124 eV/atom
Magnetization   0.01 Bohr magnetons per cell